[1]
# InAg2Te PBE optimized geometry
# M_tot: 0.0 μB per formula unit
# Excess energy over the best structure of this formula in the dataset: 123.9 meV/atom
# DOS(E_F): 1.8 states/eV/f.u.
# Space-group type: R3m, No. 160
# ΔE_f (raw): 0.13 eV/atom
data_InAg2Te
_cell_length_a 8.7665
_cell_length_b 8.7665
_cell_length_c 8.7665
_cell_angle_alpha 23.69
_cell_angle_beta 23.69
_cell_angle_gamma 23.69
_symmetry_space_group_name_H-M 'P 1'
_symmetry_Int_Tables_number 1
_symmetry_space_group_name_Hall 'P 1'
loop_
_atom_site_label
_atom_site_fract_x
_atom_site_fract_y
_atom_site_fract_z
Te1 0.7444 0.7444 0.7444
Ag1 0.9962 0.9962 0.9962
Ag2 0.2524 0.2524 0.2524
In1 0.5070 0.5070 0.5070



[2]
# PaZnCo6 PBE optimized geometry
# M_tot: 6.6 μB per formula unit
# DOS(E_F): 10.2 states/eV/f.u.
# Total DFT energy (no corrections): -6.61 eV/atom
# Space-group type: Pm-3, No. 200
data_PaZnCo6
_cell_length_a 4.6960
_cell_length_b 4.6960
_cell_length_c 4.6960
_cell_angle_alpha 90.00
_cell_angle_beta 90.00
_cell_angle_gamma 90.00
_symmetry_space_group_name_H-M 'P 1'
_symmetry_Int_Tables_number 1
_symmetry_space_group_name_Hall 'P 1'
loop_
_atom_site_label
_atom_site_fract_x
_atom_site_fract_y
_atom_site_fract_z
Pa1 0.5000 0.5000 0.5000
Zn1 0.0000 0.0000 0.0000
Co1 0.5000 0.7584 0.0000
Co2 0.7584 0.0000 0.5000
Co3 0.0000 0.5000 0.2416
Co4 0.2416 0.0000 0.5000
Co5 0.5000 0.2416 0.0000
Co6 0.0000 0.5000 0.7584



[3]
# Sc2Pt2Rh PBE optimized geometry
# M_tot: 0.0 μB per formula unit
# Excess energy over the best structure of this formula in the dataset: 409.9 meV/atom
# DOS(E_F): 2.9 states/eV/f.u.
# Space-group type: Cmmm, No. 65
data_Sc2Pt2Rh
_cell_length_a 4.1183
_cell_length_b 4.1183
_cell_length_c 6.2146
_cell_angle_alpha 90.01
_cell_angle_beta 90.01
_cell_angle_gamma 110.11
_symmetry_space_group_name_H-M 'P 1'
_symmetry_Int_Tables_number 1
_symmetry_space_group_name_Hall 'P 1'
loop_
_atom_site_label
_atom_site_fract_x
_atom_site_fract_y
_atom_site_fract_z
Sc1 0.5005 0.5005 0.7583
Sc2 0.4995 0.4995 0.2417
Pt1 0.1846 0.8154 0.5000
Pt2 0.8154 0.1846 0.5000
Rh1 0.0000 0.0000 0.0000



[4]
# ScCrAg2 PBE optimized geometry
# M_tot: 4.0 μB per formula unit
# Excess energy over the best structure of this formula in the dataset: 5.7 meV/atom
# DOS(E_F): 3.5 states/eV/f.u.
# Space-group type: Fm-3m, No. 225
data_ScCrAg2
_cell_length_a 4.7191
_cell_length_b 4.7191
_cell_length_c 4.7191
_cell_angle_alpha 60.00
_cell_angle_beta 60.00
_cell_angle_gamma 60.00
_symmetry_space_group_name_H-M 'P 1'
_symmetry_Int_Tables_number 1
_symmetry_space_group_name_Hall 'P 1'
loop_
_atom_site_label
_atom_site_fract_x
_atom_site_fract_y
_atom_site_fract_z
Sc1 0.0000 0.0000 0.0000
Cr1 0.5000 0.5000 0.5000
Ag1 0.2500 0.2500 0.2500
Ag2 0.7500 0.7500 0.7500



The highest DOS(E_F) belongs to which entry?
PaZnCo6